Entry 1:
NaZnAg after structural relaxation. Source: OQMD via LeMat-Bulk, functional PBE.

ΔE to the lowest computed polymorph: 240 meV per atom
SG: F-43m (216)

Cell and atoms, written as CIF:
```
data_NaZnAg
_chemical_formula_sum 'Na1 Zn1 Ag1'
_space_group_name_H-M_alt 'P 1'
_space_group_IT_number 1
_space_group_name_Hall 'P 1'
_cell_length_a 4.6772
_cell_length_b 4.6772
_cell_length_c 4.6772
_cell_angle_alpha 60.00
_cell_angle_beta 60.00
_cell_angle_gamma 60.00
loop_
_atom_site_label
_atom_site_fract_x
_atom_site_fract_y
_atom_site_fract_z
Na1 0.0000 0.0000 0.0000
Zn1 0.2500 0.2500 0.2500
Ag1 0.7500 0.7500 0.7500
```


Entry 2:
NaLiNp after structural relaxation. Source: OQMD via LeMat-Bulk, functional PBE.

ΔE to the lowest computed polymorph: 0 meV per atom
SG: F-43m (216)

Cell and atoms, written as CIF:
```
data_NaLiNp
_chemical_formula_sum 'Na1 Li1 Np1'
_space_group_name_H-M_alt 'P 1'
_space_group_IT_number 1
_space_group_name_Hall 'P 1'
_cell_length_a 4.9759
_cell_length_b 4.9759
_cell_length_c 4.9759
_cell_angle_alpha 60.00
_cell_angle_beta 60.00
_cell_angle_gamma 60.00
loop_
_atom_site_label
_atom_site_fract_x
_atom_site_fract_y
_atom_site_fract_z
Na1 0.0000 0.0000 0.0000
Li1 0.2500 0.2500 0.2500
Np1 0.5000 0.5000 0.5000
```


Entry 3:
Hf2CS after structural relaxation. Source: OQMD via LeMat-Bulk, functional PBE.

SG: P6_3/mmc (194)
final energy: -77.264 eV/cell

Cell and atoms, written as CIF:
```
data_Hf2CS
_chemical_formula_sum 'Hf4 C2 S2'
_space_group_name_H-M_alt 'P 1'
_space_group_IT_number 1
_space_group_name_Hall 'P 1'
_cell_length_a 3.3779
_cell_length_b 3.3779
_cell_length_c 12.0691
_cell_angle_alpha 90.00
_cell_angle_beta 90.00
_cell_angle_gamma 120.00
loop_
_atom_site_label
_atom_site_fract_x
_atom_site_fract_y
_atom_site_fract_z
Hf1 0.3333 0.6667 0.1001
Hf2 0.3333 0.6667 0.3999
Hf3 0.6667 0.3333 0.6001
Hf4 0.6667 0.3333 0.8999
C1 0.0000 0.0000 0.0000
C2 0.0000 0.0000 0.5000
S1 0.3333 0.6667 0.7500
S2 0.6667 0.3333 0.2500
```


Entry 4:
GdMgZn after structural relaxation. Source: OQMD via LeMat-Bulk, functional PBE.

SG: P3m1 (156)
final energy: -24.256 eV/cell

Cell and atoms, written as CIF:
```
data_GdMgZn
_chemical_formula_sum 'Gd3 Mg3 Zn3'
_space_group_name_H-M_alt 'P 1'
_space_group_IT_number 1
_space_group_name_Hall 'P 1'
_cell_length_a 4.8863
_cell_length_b 4.8863
_cell_length_c 9.8806
_cell_angle_alpha 90.00
_cell_angle_beta 90.00
_cell_angle_gamma 120.00
loop_
_atom_site_label
_atom_site_fract_x
_atom_site_fract_y
_atom_site_fract_z
Gd1 0.0000 0.0000 0.0000
Gd2 0.0000 0.0000 0.3434
Gd3 0.6667 0.3333 0.7735
Mg1 0.0000 0.0000 0.6597
Mg2 0.3333 0.6667 0.1723
Mg3 0.3333 0.6667 0.5414
Zn1 0.3333 0.6667 0.8470
Zn2 0.6667 0.3333 0.1688
Zn3 0.6667 0.3333 0.4663
```


Entry 5:
DyTmPd after structural relaxation. Source: OQMD via LeMat-Bulk, functional PBE.

ΔE to the lowest computed polymorph: 12 meV per atom
energy of formation: -642 meV/atom
SG: Pnma (62)

Cell and atoms, written as CIF:
```
data_DyTmPd
_chemical_formula_sum 'Dy4 Tm4 Pd4'
_space_group_name_H-M_alt 'P 1'
_space_group_IT_number 1
_space_group_name_Hall 'P 1'
_cell_length_a 6.9974
_cell_length_b 4.8273
_cell_length_c 8.7135
_cell_angle_alpha 90.00
_cell_angle_beta 90.00
_cell_angle_gamma 90.00
loop_
_atom_site_label
_atom_site_fract_x
_atom_site_fract_y
_atom_site_fract_z
Dy1 0.1471 0.2500 0.0805
Dy2 0.3529 0.7500 0.5805
Dy3 0.6471 0.2500 0.4195
Dy4 0.8529 0.7500 0.9195
Tm1 0.0153 0.2500 0.6717
Tm2 0.4847 0.7500 0.1717
Tm3 0.5153 0.2500 0.8283
Tm4 0.9847 0.7500 0.3283
Pd1 0.2369 0.2500 0.4046
Pd2 0.2631 0.7500 0.9046
Pd3 0.7369 0.2500 0.0954
Pd4 0.7631 0.7500 0.5954
```


Entry 6:
Lu3Co11B4 after structural relaxation. Source: OQMD via LeMat-Bulk, functional PBE.

SG: P6/mmm (191)
final energy: -125.231 eV/cell

Cell and atoms, written as CIF:
```
data_Lu3Co11B4
_chemical_formula_sum 'Lu3 Co11 B4'
_space_group_name_H-M_alt 'P 1'
_space_group_IT_number 1
_space_group_name_Hall 'P 1'
_cell_length_a 4.9682
_cell_length_b 4.9682
_cell_length_c 9.7576
_cell_angle_alpha 90.00
_cell_angle_beta 90.00
_cell_angle_gamma 120.00
loop_
_atom_site_label
_atom_site_fract_x
_atom_site_fract_y
_atom_site_fract_z
Lu1 0.0000 0.0000 0.0000
Lu2 0.0000 0.0000 0.3419
Lu3 0.0000 0.0000 0.6581
Co1 0.0000 0.5000 0.2016
Co2 0.0000 0.5000 0.5000
Co3 0.0000 0.5000 0.7984
Co4 0.3333 0.6667 0.0000
Co5 0.5000 0.0000 0.2016
Co6 0.5000 0.0000 0.5000
Co7 0.5000 0.0000 0.7984
Co8 0.5000 0.5000 0.2016
Co9 0.5000 0.5000 0.5000
Co10 0.5000 0.5000 0.7984
Co11 0.6667 0.3333 0.0000
B1 0.3333 0.6667 0.3495
B2 0.3333 0.6667 0.6505
B3 0.6667 0.3333 0.3495
B4 0.6667 0.3333 0.6505
```


Entry 7:
Pr3Ge after structural relaxation. Source: OQMD via LeMat-Bulk, functional PBE.

SG: P4_2/n (86)
final energy: -165.919 eV/cell

Cell and atoms, written as CIF:
```
data_Pr3Ge
_chemical_formula_sum 'Pr24 Ge8'
_space_group_name_H-M_alt 'P 1'
_space_group_IT_number 1
_space_group_name_Hall 'P 1'
_cell_length_a 12.5703
_cell_length_b 12.5703
_cell_length_c 6.1984
_cell_angle_alpha 90.00
_cell_angle_beta 90.00
_cell_angle_gamma 90.00
loop_
_atom_site_label
_atom_site_fract_x
_atom_site_fract_y
_atom_site_fract_z
Pr1 0.0292 0.9273 0.2432
Pr2 0.0727 0.5292 0.7432
Pr3 0.1136 0.2823 0.0166
Pr4 0.1357 0.8322 0.7299
Pr5 0.1678 0.6357 0.2299
Pr6 0.2177 0.1136 0.4834
Pr7 0.2823 0.3864 0.4834
Pr8 0.3322 0.8643 0.2299
Pr9 0.3643 0.6678 0.7299
Pr10 0.3864 0.2177 0.0166
Pr11 0.4273 0.9708 0.7432
Pr12 0.4708 0.5727 0.2432
Pr13 0.5292 0.4273 0.7568
Pr14 0.5727 0.0292 0.2568
Pr15 0.6136 0.7823 0.9834
Pr16 0.6357 0.3322 0.2701
Pr17 0.6678 0.1357 0.7701
Pr18 0.7177 0.6136 0.5166
Pr19 0.7823 0.8864 0.5166
Pr20 0.8322 0.3643 0.7701
Pr21 0.8643 0.1678 0.2701
Pr22 0.8864 0.7177 0.9834
Pr23 0.9273 0.4708 0.2568
Pr24 0.9708 0.0727 0.7568
Ge1 0.0473 0.2936 0.5271
Ge2 0.2064 0.0473 0.9729
Ge3 0.2936 0.4527 0.9729
Ge4 0.4527 0.2064 0.5271
Ge5 0.5473 0.7936 0.4729
Ge6 0.7064 0.5473 0.0271
Ge7 0.7936 0.9527 0.0271
Ge8 0.9527 0.7064 0.4729
```


Entry 8:
Tb2ErCd3Pt2Au after structural relaxation. Source: OQMD via LeMat-Bulk, functional PBE.

energy of formation: -819 meV/atom
SG: Amm2 (38)

Cell and atoms, written as CIF:
```
data_Tb2ErCd3Pt2Au
_chemical_formula_sum 'Tb2 Er1 Cd3 Pt2 Au1'
_space_group_name_H-M_alt 'P 1'
_space_group_IT_number 1
_space_group_name_Hall 'P 1'
_cell_length_a 3.9045
_cell_length_b 7.6454
_cell_length_c 7.6454
_cell_angle_alpha 119.83
_cell_angle_beta 90.00
_cell_angle_gamma 90.00
loop_
_atom_site_label
_atom_site_fract_x
_atom_site_fract_y
_atom_site_fract_z
Tb1 0.0000 0.2049 0.7951
Tb2 0.0000 0.7951 0.2049
Er1 0.0000 0.3857 0.3857
Cd1 0.5000 0.0579 0.0579
Cd2 0.5000 0.5329 0.7957
Cd3 0.5000 0.7957 0.5329
Pt1 0.5000 0.1316 0.4618
Pt2 0.5000 0.4618 0.1316
Au1 0.0000 0.7937 0.7937
```


Entry 9:
HfZrSb2Ir2 after structural relaxation. Source: OQMD via LeMat-Bulk, functional PBE.

SG: Pm (6)
final energy: -200.315 eV/cell

Cell and atoms, written as CIF:
```
data_HfZrSb2Ir2
_chemical_formula_sum 'Hf4 Zr4 Sb8 Ir8'
_space_group_name_H-M_alt 'P 1'
_space_group_IT_number 1
_space_group_name_Hall 'P 1'
_cell_length_a 8.9778
_cell_length_b 4.4881
_cell_length_c 13.4667
_cell_angle_alpha 90.00
_cell_angle_beta 109.47
_cell_angle_gamma 90.00
loop_
_atom_site_label
_atom_site_fract_x
_atom_site_fract_y
_atom_site_fract_z
Hf1 0.0000 0.0000 0.0000
Hf2 0.1252 0.5000 0.7504
Hf3 0.2498 0.0000 0.5004
Hf4 0.4998 0.0000 0.0000
Zr1 0.3746 0.5000 0.2501
Zr2 0.6251 0.5000 0.7507
Zr3 0.7505 0.0000 0.5007
Zr4 0.8752 0.5000 0.2500
Sb1 0.0006 0.5000 0.5006
Sb2 0.1248 0.0000 0.2498
Sb3 0.2497 0.5000 0.9996
Sb4 0.3746 0.0000 0.7503
Sb5 0.4998 0.5000 0.5008
Sb6 0.6249 0.0000 0.2500
Sb7 0.7500 0.5000 0.0003
Sb8 0.8758 0.0000 0.7510
Ir1 0.0618 0.5000 0.1236
Ir2 0.1875 0.0000 0.8751
Ir3 0.3106 0.5000 0.6248
Ir4 0.4361 0.0000 0.3760
Ir5 0.5616 0.5000 0.1236
Ir6 0.6882 0.0000 0.8768
Ir7 0.8149 0.5000 0.6265
Ir8 0.9396 0.0000 0.3760
```


Entry 10:
AlFeHgPt after structural relaxation. Source: OQMD via LeMat-Bulk, functional PBE.

ΔE to the lowest computed polymorph: 0 meV per atom
SG: F-43m (216)

Cell and atoms, written as CIF:
```
data_AlFeHgPt
_chemical_formula_sum 'Al1 Fe1 Hg1 Pt1'
_space_group_name_H-M_alt 'P 1'
_space_group_IT_number 1
_space_group_name_Hall 'P 1'
_cell_length_a 4.4747
_cell_length_b 4.4747
_cell_length_c 4.4747
_cell_angle_alpha 60.00
_cell_angle_beta 60.00
_cell_angle_gamma 60.00
loop_
_atom_site_label
_atom_site_fract_x
_atom_site_fract_y
_atom_site_fract_z
Al1 0.0000 0.0000 0.0000
Fe1 0.2500 0.2500 0.2500
Hg1 0.5000 0.5000 0.5000
Pt1 0.7500 0.7500 0.7500
```


Entry 11:
Tm2Cd2O5 after structural relaxation. Source: OQMD via LeMat-Bulk, functional PBE.

ΔE to the lowest computed polymorph: 449 meV per atom
SG: P4/mmm (123)

Cell and atoms, written as CIF:
```
data_Tm2Cd2O5
_chemical_formula_sum 'Tm2 Cd2 O5'
_space_group_name_H-M_alt 'P 1'
_space_group_IT_number 1
_space_group_name_Hall 'P 1'
_cell_length_a 4.1776
_cell_length_b 4.1776
_cell_length_c 7.1944
_cell_angle_alpha 90.00
_cell_angle_beta 90.00
_cell_angle_gamma 90.00
loop_
_atom_site_label
_atom_site_fract_x
_atom_site_fract_y
_atom_site_fract_z
Tm1 0.0000 0.0000 0.0000
Tm2 0.0000 0.0000 0.5000
Cd1 0.5000 0.5000 0.2035
Cd2 0.5000 0.5000 0.7965
O1 0.0000 0.5000 0.1932
O2 0.0000 0.5000 0.8068
O3 0.5000 0.0000 0.1932
O4 0.5000 0.0000 0.8068
O5 0.5000 0.5000 0.5000
```


Entry 12:
Cu8As after structural relaxation. Source: OQMD via LeMat-Bulk, functional PBE.

ΔE to the lowest computed polymorph: 3020 meV per atom
SG: P6/mmm (191)

Cell and atoms, written as CIF:
```
data_Cu8As
_chemical_formula_sum 'Cu8 As1'
_space_group_name_H-M_alt 'P 1'
_space_group_IT_number 1
_space_group_name_Hall 'P 1'
_cell_length_a 6.3454
_cell_length_b 6.3454
_cell_length_c 3.5893
_cell_angle_alpha 90.00
_cell_angle_beta 90.00
_cell_angle_gamma 120.00
loop_
_atom_site_label
_atom_site_fract_x
_atom_site_fract_y
_atom_site_fract_z
Cu1 0.1684 0.3368 0.0000
Cu2 0.1684 0.8316 0.0000
Cu3 0.3333 0.6667 0.0000
Cu4 0.3368 0.1684 0.0000
Cu5 0.6632 0.8316 0.0000
Cu6 0.6667 0.3333 0.0000
Cu7 0.8316 0.1684 0.0000
Cu8 0.8316 0.6632 0.0000
As1 0.0000 0.0000 0.5000
```